Material: BeAg3Hg
Method: DFT, PBE-GGA
State: relaxed

Structure (POSCAR):
```
BeAg3Hg
1.0
-3.018 -3.255 0.858
1.460 -2.305 -3.606
3.033 -2.130 2.590
Hg Ag Be
1 3 1
Direct
0.500 0.500 0.500
0.000 0.000 0.500
0.500 0.000 0.000
0.000 0.500 0.000
0.000 0.000 0.000
```

Summary:
For the density of states at the Fermi level, the calculation gives 1.76 states/eV per cell. Its symmetry is Pm-3m (221). The volume comes out at 92 Å³ per cell. The total magnetization is 0.000 Bohr magnetons per cell. The energy of formation from the pure elements comes out at 0.353 eV/atom.

=====

Material: GaCu2HPd
Method: DFT, PBE-GGA
State: relaxed

Structure (POSCAR):
```
GaCu2HPd
1.0
3.811 0.000 0.000
0.000 3.811 0.000
0.000 0.000 3.930
Cu Ga H Pd
2 1 1 1
Direct
0.000 0.500 0.000
0.500 0.000 0.000
0.500 0.500 0.500
0.000 0.000 0.000
0.000 0.000 0.500
```

Summary:
For the density of states at the Fermi level, the calculation gives 0.76 states/eV per cell. As for the excess energy over the best structure of this formula in the dataset: 0.000 eV/f.u. Its symmetry is P4/mmm (123). The volume comes out at 57 Å³ per cell. The total magnetization is 0.000 Bohr magnetons per cell.

=====

Material: LiCuRh2
Method: DFT, PBE-GGA
State: relaxed

Structure (POSCAR):
```
LiCuRh2
1.0
-0.457 -1.939 -1.791
2.038 -1.058 -1.379
1.621 -7.005 5.165
Cu Rh Li
1 2 1
Direct
0.500 0.500 0.500
0.084 0.084 0.748
0.249 0.249 0.253
0.667 0.667 0.000
```

Summary:
For the density of states at the Fermi level, the calculation gives 5.67 states/eV per cell. Its symmetry is R3m (160). The volume comes out at 54 Å³ per cell. The total magnetization is 0.801 Bohr magnetons per cell. The energy of formation from the pure elements comes out at -0.024 eV/atom.

=====

Material: CaThAg
Method: DFT, PBE-GGA
State: relaxed

Structure (POSCAR):
```
CaThAg
1.0
3.536 0.000 0.000
0.000 3.536 0.000
-1.768 -1.768 7.008
Th Ag Ca
1 1 1
Direct
0.689 0.689 0.378
0.335 0.335 0.669
0.976 0.976 0.953
```

Summary:
For the density of states at the Fermi level, the calculation gives 2.70 states/eV per cell. Its symmetry is I4mm (107). The volume comes out at 88 Å³ per cell. The total magnetization is 0.000 Bohr magnetons per cell. The energy of formation from the pure elements comes out at -0.002 eV/atom.

=====

Material: Tl2TcPb
Method: DFT, PBE-GGA
State: relaxed

Structure (POSCAR):
```
Tl2TcPb
1.0
-1.459 -4.410 2.088
4.124 -0.646 1.519
-1.050 2.126 3.757
Pb Tl Tc
1 2 1
Direct
0.500 0.500 0.000
0.000 0.000 0.000
0.000 0.500 0.500
0.500 0.000 0.500
```

Summary:
For the density of states at the Fermi level, the calculation gives 3.04 states/eV per cell. As for the excess energy over the best structure of this formula in the dataset: 1.326 eV/f.u. Its symmetry is P4/mmm (123). The volume comes out at 101 Å³ per cell. The total magnetization is 2.871 Bohr magnetons per cell. The energy of formation from the pure elements comes out at 0.767 eV/atom.

=====

Material: YTl2Zn2
Method: DFT, PBE-GGA
State: relaxed

Structure (POSCAR):
```
YTl2Zn2
1.0
4.513 0.000 0.000
0.000 4.513 0.000
2.256 2.256 5.709
Zn Tl Y
2 2 1
Direct
0.398 0.398 0.205
0.602 0.602 0.795
0.750 0.250 0.500
0.250 0.750 0.500
0.000 0.000 0.000
```

Summary:
For the density of states at the Fermi level, the calculation gives 1.94 states/eV per cell. As for the excess energy over the best structure of this formula in the dataset: 0.000 eV/f.u. Its symmetry is I4/mmm (139). The volume comes out at 116 Å³ per cell. The total magnetization is 0.000 Bohr magnetons per cell. The energy of formation from the pure elements comes out at -0.077 eV/atom.